Entry from Alexandria: an optimized crystal structure of Ba4HgBr (PBE-GGA).

Results
Density of states at the Fermi level ... 1.644 states/eV per atom
ΔE_f (raw) ... 19 kJ/mol of formula units

Cell: 7.6092 7.6092 7.6092 Å, 60.00 60.00 60.00°
With the nearest neighbours (Å) after each atom.
Atoms (fractional coordinates):
Ba  0.1251  0.1251  0.1251  6 Ba 3.80-3.81
Ba  0.1251  0.1251  0.6248  6 Ba 3.80-3.81
Ba  0.1251  0.6248  0.1251  6 Ba 3.80-3.81
Ba  0.6248  0.1251  0.1251  6 Ba 3.80-3.81
Hg  0.5000  0.5000  0.5000  12 Ba 4.46, 4 Br 4.66
Br  0.7500  0.7500  0.7500  12 Ba 4.46, 4 Hg 4.66